1.
Density functional theory data (PBE) for a geometry-optimized La6Ru structure. Values from VASP.

DOS at the Fermi energy ... 47.16 states/eV per cell
ΔH_f (0 K) ... -0.0984 eV/atom
SG ... Pnma, No. 62

Quantum ESPRESSO input file:
```
&SYSTEM
  ibrav = 0, nat = 28, ntyp = 2
/
ATOMIC_SPECIES
La 138.91 La.upf
Ru 101.07 Ru.upf
CELL_PARAMETERS angstrom
12.647 0.000 0.000
0.000 11.659 0.000
0.000 0.000 6.609
ATOMIC_POSITIONS angstrom
La 0.031 2.915 1.450
La 0.096 0.798 4.960
La 0.096 5.031 4.960
La 3.062 2.915 3.874
La 3.125 0.995 0.547
La 3.125 4.835 0.547
La 3.198 6.824 3.851
La 3.198 10.664 3.851
La 3.262 8.744 0.570
La 6.228 6.627 1.656
La 6.228 10.861 1.656
La 6.293 8.744 4.754
La 6.354 2.915 1.855
La 6.419 0.798 4.953
La 6.419 5.031 4.953
La 9.385 2.915 6.039
La 9.449 0.995 2.758
La 9.449 4.835 2.758
La 9.521 6.824 6.062
La 9.521 10.664 6.062
La 9.585 8.744 2.735
La 12.551 6.627 1.648
La 12.551 10.861 1.648
La 12.616 8.744 5.159
Ru 1.418 8.744 2.690
Ru 4.905 2.915 5.994
Ru 7.741 8.744 0.614
Ru 11.229 2.915 3.919
```

=====

2.
Density functional theory data (PBE) for a geometry-optimized LaRu6 structure. Values from VASP.

DOS at the Fermi energy ... 8.87 states/eV per cell
ΔH_f (0 K) ... 0.5978 eV/atom
SG ... Im-3m, No. 229

Quantum ESPRESSO input file:
```
&SYSTEM
  ibrav = 0, nat = 7, ntyp = 2
/
ATOMIC_SPECIES
La 138.91 La.upf
Ru 101.07 Ru.upf
CELL_PARAMETERS angstrom
-3.362 3.362 3.362
3.362 -3.362 3.362
3.362 3.362 -3.362
ATOMIC_POSITIONS angstrom
La 0.000 0.000 0.000
Ru 3.362 1.681 0.000
Ru 3.362 0.000 1.681
Ru 1.681 3.362 0.000
Ru 1.681 0.000 3.362
Ru 0.000 3.362 1.681
Ru 0.000 1.681 3.362
```

=====

3.
Density functional theory data (PBE) for a geometry-optimized LaRuS2 structure. Values from VASP.

Formation energy without anion corrections ... -0.781 eV/atom
DOS at the Fermi energy ... 0.00 states/eV per cell
SG ... Fm-3m, No. 225
Distance to the lowest polymorph of the same formula ... 128 meV per atom

Quantum ESPRESSO input file:
```
&SYSTEM
  ibrav = 0, nat = 4, ntyp = 3
/
ATOMIC_SPECIES
La 138.91 La.upf
Ru 101.07 Ru.upf
S 32.06 S.upf
CELL_PARAMETERS angstrom
0.000 3.391 3.391
3.391 0.000 3.391
3.391 3.391 0.000
ATOMIC_POSITIONS angstrom
La 0.000 0.000 0.000
Ru 3.391 3.391 3.391
S 1.696 1.696 1.696
S 5.087 5.087 5.087
```

=====

4.
Density functional theory data (PBE) for a geometry-optimized LaRuS2 structure. Values from VASP.

Formation energy without anion corrections ... -0.580 eV/atom
DOS at the Fermi energy ... 4.22 states/eV per cell
SG ... R-3m, No. 166
Distance to the lowest polymorph of the same formula ... 329 meV per atom

Quantum ESPRESSO input file:
```
&SYSTEM
  ibrav = 0, nat = 4, ntyp = 3
/
ATOMIC_SPECIES
La 138.91 La.upf
Ru 101.07 Ru.upf
S 32.06 S.upf
CELL_PARAMETERS angstrom
2.198 1.269 7.302
-2.198 1.269 7.302
0.000 -2.538 7.302
ATOMIC_POSITIONS angstrom
La 0.000 0.000 0.000
Ru 0.000 0.000 10.953
S 0.000 0.000 8.654
S 0.000 0.000 13.251
```

=====

5.
Density functional theory data (PBE) for a geometry-optimized LaRu3S structure. Values from VASP.

Formation energy without anion corrections ... -0.120 eV/atom
DOS at the Fermi energy ... 4.13 states/eV per cell
SG ... Pm-3m, No. 221
Distance to the lowest polymorph of the same formula ... 0 meV per atom

Quantum ESPRESSO input file:
```
&SYSTEM
  ibrav = 0, nat = 5, ntyp = 3
/
ATOMIC_SPECIES
La 138.91 La.upf
Ru 101.07 Ru.upf
S 32.06 S.upf
CELL_PARAMETERS angstrom
4.479 0.000 0.000
0.000 4.479 0.000
0.000 0.000 4.479
ATOMIC_POSITIONS angstrom
La 0.000 0.000 0.000
Ru 0.000 2.239 2.239
Ru 2.239 0.000 2.239
Ru 2.239 2.239 0.000
S 2.239 2.239 2.239
```

=====

6.
Density functional theory data (PBE) for a geometry-optimized LaRu3S structure. Values from VASP.

Formation energy without anion corrections ... 2.024 eV/atom
DOS at the Fermi energy ... 7.53 states/eV per cell
SG ... Pm-3m, No. 221
Distance to the lowest polymorph of the same formula ... 2144 meV per atom

Quantum ESPRESSO input file:
```
&SYSTEM
  ibrav = 0, nat = 5, ntyp = 3
/
ATOMIC_SPECIES
La 138.91 La.upf
Ru 101.07 Ru.upf
S 32.06 S.upf
CELL_PARAMETERS angstrom
4.888 0.000 0.000
0.000 4.888 0.000
0.000 0.000 4.888
ATOMIC_POSITIONS angstrom
La 0.000 0.000 0.000
Ru 0.000 0.000 2.444
Ru 0.000 2.444 0.000
Ru 2.444 0.000 0.000
S 2.444 2.444 2.444
```

=====

> Which formula does entry 6 have?

LaRu3S

=====

> What is the DOS at the Fermi energy in the fifth record?

4.13 states/eV per cell

=====

> What is the formula in the fifth record?

LaRu3S